Material: Ce3AlCo
Method: DFT, GGA-PBE
State: relaxed

```
Ce3AlCo
1.0
-2.147 -1.687 -5.717
-7.153 -2.412 3.398
-1.668 8.302 -1.823
Ce Al Co
12 4 4
Cartesian
-2.114 0.920 0.295 Ce
-8.854 3.283 -4.438 Ce
-3.509 1.073 -2.736 Ce
-7.459 3.130 -1.406 Ce
-5.720 0.329 -0.177 Ce
-5.248 3.874 -3.965 Ce
-8.280 -1.710 -2.124 Ce
-2.688 5.913 -2.018 Ce
-9.407 0.922 -1.726 Ce
-1.562 3.281 -2.416 Ce
-5.801 6.360 -1.173 Ce
-5.167 -2.157 -2.969 Ce
-6.507 0.807 -3.587 Al
-4.461 3.396 -0.555 Al
-7.526 -2.214 1.198 Al
-3.442 6.417 -5.340 Al
-2.905 -0.939 -1.541 Co
-8.063 5.142 -2.601 Co
-4.358 1.642 -5.268 Co
-6.610 2.561 1.126 Co
```

Calculated values
The calculation puts the formation energy at -0.2192 eV per atom.